Computed, not measured: VBiPb2O6 after structural relaxation at the PBE+U level of DFT.

Calculated values
total magnetization	0.0	μB/cell
final energy	-62.63	eV for the cell shown

Lattice parameters (Å, degrees): 5.7312 5.7312 5.0158 90.00 90.00 90.00
Space group P4mm (No. 99)
Asymmetric unit:
V 0.0000 0.0000 0.0000 (multiplicity 1)
Bi 0.5000 0.5000 0.9660 (multiplicity 1)
Pb 0.0000 0.5000 0.4011 (multiplicity 2)
O 0.0000 0.0000 0.6646 (multiplicity 1)
O 0.2228 0.2228 0.1142 (multiplicity 4)
O 0.5000 0.5000 0.5403 (multiplicity 1)